# Cr3SnPd GGA-PBEsol relaxed
data_Cr3SnPd
_cell_length_a 4.922
_cell_length_b 4.922
_cell_length_c 4.922
_cell_angle_alpha 90.00
_cell_angle_beta 90.00
_cell_angle_gamma 90.00
_symmetry_space_group_name_H-M 'P m -3 m'
_symmetry_Int_Tables_number 221
_symmetry_space_group_name_Hall '-P 4 2 3'
loop_
_atom_site_label
_atom_site_fract_x
_atom_site_fract_y
_atom_site_fract_z
Cr1 0.000 0.000 0.500
Sn1 0.000 0.000 0.000
Pd1 0.500 0.500 0.500
# Magnetic moment, μB per atom: 2.40
# Fermi-level density of states, states/eV/f.u.: 3.9
# Formation energy from the elements, kJ/mol of formula units: 843